## Li12Mg2Ga (PBE)

Data for Li12Mg2Ga after structural relaxation.

```
Li12Mg2Ga
1.0
5.6225 -1.4049 0.0000
-1.4049 5.6225 0.0000
0.0000 0.0000 19.8507
Li Mg Ga
24 4 2
Cartesian
2.1088 2.1088 15.9530 Li
0.0000 0.0000 15.9530 Li
3.1637 3.1626 18.5341 Li
0.3526 3.8663 17.4461 Li
0.0000 0.0000 6.4349 Li
0.3513 3.8650 2.4046 Li
3.8928 0.3791 11.5499 Li
2.1088 2.1088 6.4349 Li
1.0539 1.0549 18.5341 Li
3.1626 3.1637 1.3166 Li
1.1056 1.0032 11.1401 Li
3.8384 0.3247 8.3008 Li
0.0000 0.0000 13.4158 Li
1.0032 1.1056 8.7106 Li
1.0549 1.0539 1.3166 Li
3.2144 3.1120 8.7106 Li
3.1120 3.2144 11.1401 Li
0.0000 0.0000 3.8976 Li
0.3248 3.8384 11.5499 Li
2.1088 2.1088 13.4158 Li
3.8650 0.3513 17.4461 Li
2.1088 2.1088 3.8976 Li
0.3791 3.8928 8.3008 Li
3.8663 0.3526 2.4046 Li
2.8112 -0.7024 5.3704 Mg
-0.7024 2.8112 5.3897 Mg
-0.7024 2.8112 14.4803 Mg
2.8112 -0.7024 14.4610 Mg
2.8112 -0.7024 0.0000 Ga
-0.7024 2.8112 19.8506 Ga
```

Calculated values
For the raw total energy, the calculation gives -1.96 eV/atom. The calculated volume comes out at 588.3 Å³ per cell.

=====

## Li14MgGa (PBE)

Data for Li14MgGa after structural relaxation.

```
Li14MgGa
1.0
-1.3754 2.5953 -5.0079
1.1289 -5.6450 -0.7525
-9.3899 -2.0781 1.5020
Li Mg Ga
14 1 1
Cartesian
0.7399 -4.3650 -1.4136 Li
-0.5277 -0.1942 -3.5674 Li
-4.3826 -3.0084 -0.0208 Li
0.1689 -1.5475 -1.0849 Li
-4.5088 -4.5707 -2.9718 Li
0.0491 -3.0306 -3.8863 Li
-7.3336 -1.3537 -0.8993 Li
-2.7842 -0.3469 -1.6270 Li
-7.4513 -2.8097 -3.6494 Li
-2.9019 -1.8028 -4.3771 Li
-6.7341 -4.1158 -1.2257 Li
-2.2599 -3.1256 -1.9413 Li
-8.0783 -0.0206 -3.3362 Li
-3.4175 1.0109 -4.0818 Li
-3.8243 -5.8342 -0.4404 Mg
-5.0650 -1.7517 -2.5487 Ga
```

Calculated values
For the raw total energy, the calculation gives -2.01 eV/atom. The calculated volume comes out at 304.9 Å³ per cell.

=====

## Li3Mg3Ga4 (PBE)

Data for Li3Mg3Ga4 after structural relaxation.

```
Li3Mg3Ga4
1.0
3.4060 0.0000 0.0000
0.0000 7.3803 -0.0741
0.0000 -0.0092 7.3806
Li Mg Ga
3 3 4
Cartesian
1.7030 6.1110 1.2064 Li
1.7030 2.4400 2.3886 Li
1.7030 4.9612 4.8877 Li
0.0000 3.6972 -0.0249 Mg
0.0000 7.3635 3.6093 Mg
1.7030 1.2478 6.1126 Mg
0.0000 4.6377 2.6928 Ga
0.0000 2.8001 4.5465 Ga
0.0000 6.3744 6.3976 Ga
0.0000 0.9176 0.9887 Ga
```

Calculated values
For the raw total energy, the calculation gives -2.45 eV/atom. The calculated volume comes out at 185.5 Å³ per cell.

=====

## Li3MgGa (PBE)

Data for Li3MgGa after structural relaxation.

```
Li3MgGa
1.0
5.0103 0.0000 0.0000
0.0000 5.0103 0.0000
0.0000 0.0000 5.0103
Mg Ga Li
1 1 3
Cartesian
0.0000 0.0000 0.0000 Mg
2.5052 2.5052 2.5052 Ga
0.0000 2.5052 0.0000 Li
0.0000 0.0000 2.5052 Li
2.5052 0.0000 0.0000 Li
```

Calculated values
For the raw total energy, the calculation gives -1.61 eV/atom. The calculated volume comes out at 125.8 Å³ per cell.

=====

## Li7MgGa4 (PBE)

Data for Li7MgGa4 after structural relaxation.

```
Li7MgGa4
1.0
-2.2935 4.1948 -0.2502
-4.8939 -0.2737 -5.5290
-6.4758 -0.6649 2.4122
Li Mg Ga
7 1 4
Cartesian
-9.6627 2.6890 -3.7450 Li
-4.0005 0.5671 0.3781 Li
-4.7159 0.0038 -2.5087 Li
-8.9473 3.2523 -0.8583 Li
-8.9961 0.4195 -2.1034 Li
-1.1468 2.0974 -0.1251 Li
-4.6671 2.8366 -1.2636 Li
0.0000 0.0000 0.0000 Mg
-6.7304 1.7691 -0.2473 Ga
-6.9328 1.4871 -3.1197 Ga
-11.1527 2.0139 -1.4056 Ga
-2.5105 1.2422 -1.9614 Ga
```

Calculated values
For the raw total energy, the calculation gives -2.39 eV/atom. The calculated volume comes out at 209.3 Å³ per cell.

=====

## Li6Mg4Ga (PBE)

Data for Li6Mg4Ga after structural relaxation.

```
Li6Mg4Ga
1.0
6.1703 -2.3002 -4.4489
-4.2348 6.5695 1.4368
-1.4827 2.3002 7.4610
Li Mg Ga
6 4 1
Cartesian
-3.9851 6.1822 4.3873 Li
-3.0162 4.6790 6.5083 Li
-1.0509 4.1907 3.4500 Li
0.9678 2.1347 -1.5061 Li
2.7875 0.3873 -0.9989 Li
2.3438 0.0000 1.5061 Li
-2.6637 4.1322 0.9709 Mg
0.2290 2.4373 1.6227 Mg
-0.9685 1.5024 4.6816 Mg
-1.8616 7.3673 6.0716 Mg
0.0000 0.0000 0.0000 Ga
```

Calculated values
For the raw total energy, the calculation gives -1.93 eV/atom. The calculated volume comes out at 214.3 Å³ per cell.

=====

## Li3Mg6Ga (PBE)

Data for Li3Mg6Ga after structural relaxation.

```
Li3Mg6Ga
1.0
-4.7688 0.0021 -1.3546
1.7459 -5.1355 -6.1544
-2.5869 -5.3761 9.0987
Li Mg Ga
6 12 2
Cartesian
-3.1158 -6.2735 -2.6481 Li
-2.4941 -4.2358 4.2378 Li
-4.8748 -6.2257 3.5444 Li
-0.7351 -4.2836 -1.9547 Li
-5.7392 -6.2875 6.5874 Li
0.1293 -4.2219 -4.9977 Li
-2.7175 -3.5282 -4.0460 Mg
-2.8924 -6.9812 5.6358 Mg
-3.9978 -0.9335 0.4653 Mg
-1.6121 -9.5759 1.1244 Mg
-5.3004 -3.6440 5.0469 Mg
-0.3095 -6.8654 -3.4572 Mg
-4.4224 -3.7680 1.9555 Mg
-1.1875 -6.7414 -0.3658 Mg
-3.5674 -3.7679 -1.0542 Mg
-2.0424 -6.7415 2.6440 Mg
-4.4357 -8.7180 1.9947 Mg
-1.1742 -1.7913 -0.4050 Mg
-3.9950 -6.2630 0.4472 Ga
-1.6148 -4.2464 1.1425 Ga
```

Calculated values
For the raw total energy, the calculation gives -1.91 eV/atom. The calculated volume comes out at 411.3 Å³ per cell.

=====

## Li3MgGa (PBE)

Data for Li3MgGa after structural relaxation.

```
Li3MgGa
1.0
-0.4009 -0.6824 -4.4782
-3.9216 -1.9741 2.9370
-2.8857 7.5776 -0.8830
Li Mg Ga
6 2 2
Cartesian
-3.0652 0.9110 0.1264 Li
-2.7362 3.5156 -0.2981 Li
-2.5489 6.1990 -0.7068 Li
-4.6593 -1.2779 -1.7174 Li
-4.1430 4.0101 -2.5506 Li
-4.4720 1.4055 -2.1261 Li
-1.6909 -0.6550 -2.0616 Mg
-5.5173 5.5761 -0.3626 Mg
-1.7997 2.1458 -2.4816 Ga
-5.4085 2.7753 0.0574 Ga
```

Calculated values
For the raw total energy, the calculation gives -2.25 eV/atom. The calculated volume comes out at 175.0 Å³ per cell.

=====

## Li2Mg2Ga (PBE)

Data for Li2Mg2Ga after structural relaxation.

```
Li2Mg2Ga
1.0
-1.4738 -2.3961 -2.3066
2.6523 -2.3690 0.7662
-3.7538 -5.3505 5.0878
Mg Ga Li
2 1 2
Cartesian
-0.2647 -2.9661 0.3816 Mg
-2.3106 -7.1494 3.1657 Mg
0.0000 0.0000 0.0000 Ga
-2.3192 -5.0645 1.0054 Li
-0.2561 -5.0510 2.5418 Li
```

Calculated values
For the raw total energy, the calculation gives -1.95 eV/atom. The calculated volume comes out at 104.2 Å³ per cell.

=====

## LiMg4Ga2 (PBE)

Data for LiMg4Ga2 after structural relaxation.

```
LiMg4Ga2
1.0
-2.7622 -4.6201 5.0529
5.0071 0.0850 2.8150
-0.4945 8.0645 0.6360
Li Mg Ga
2 8 4
Cartesian
2.9533 1.9334 3.4813 Li
-1.2030 1.5961 5.0226 Li
0.9970 -0.6293 4.1075 Mg
3.2168 7.5107 2.8442 Mg
-1.4664 -3.9812 5.6596 Mg
-1.5065 -0.6718 2.7001 Mg
-1.7041 -1.0863 5.9949 Mg
3.2568 4.2014 5.8038 Mg
0.7534 4.1588 4.3964 Mg
3.4544 4.6158 2.5089 Mg
1.4367 -2.4952 6.3128 Ga
0.3137 6.0247 2.1911 Ga
0.0125 1.7894 2.8547 Ga
1.7378 1.7401 5.6492 Ga
```

Calculated values
For the raw total energy, the calculation gives -2.12 eV/atom. The calculated volume comes out at 288.0 Å³ per cell.

=====

## Li3MgGa (PBE)

Data for Li3MgGa after structural relaxation.

```
Li3MgGa
1.0
4.8074 0.0000 0.0000
0.0000 4.8074 0.0000
0.0000 0.0000 4.8074
Mg Ga Li
1 1 3
Cartesian
2.4037 2.4037 2.4037 Mg
0.0000 0.0000 0.0000 Ga
0.0000 2.4037 0.0000 Li
0.0000 0.0000 2.4037 Li
2.4037 0.0000 0.0000 Li
```

Calculated values
For the raw total energy, the calculation gives -1.91 eV/atom. The calculated volume comes out at 111.1 Å³ per cell.

=====

## Li3Mg4Ga (PBE)

Data for Li3Mg4Ga after structural relaxation.

```
Li3Mg4Ga
1.0
4.5362 0.0000 1.3390
2.0704 4.0361 1.3390
-0.0099 -0.0061 8.3866
Mg Ga Li
4 1 3
Cartesian
5.7746 3.5278 5.4966 Mg
2.4735 1.5111 8.3266 Mg
0.8221 0.5022 5.5681 Mg
4.1232 2.5189 2.7381 Mg
0.0000 0.0000 0.0000 Ga
1.6552 1.0112 2.7456 Li
4.9414 3.0188 8.3191 Li
3.2983 2.0150 5.5323 Li
```

Calculated values
For the raw total energy, the calculation gives -2.01 eV/atom. The calculated volume comes out at 153.6 Å³ per cell.

=====

## Li3Mg10Ga3 (PBE)

Data for Li3Mg10Ga3 after structural relaxation.

```
Li3Mg10Ga3
1.0
-2.2584 -1.7277 -4.9546
-2.4582 -6.9200 3.5335
-4.8941 6.5162 -0.0413
Li Mg Ga
3 10 3
Cartesian
-3.1730 1.8573 -2.4946 Li
-2.1558 -3.7536 -1.0017 Li
-5.4112 -1.0990 -0.4434 Li
-3.8249 -2.8656 1.1249 Mg
-4.6369 1.6131 -0.0667 Mg
-5.7858 0.7342 -2.5873 Mg
-4.9739 -3.7446 -1.3957 Mg
-4.8952 4.1504 -2.5091 Mg
-3.0208 -6.1887 0.2417 Mg
-2.8240 -0.9569 -1.6723 Mg
-1.2234 1.6288 -0.0103 Mg
-0.6145 -1.7298 0.8833 Mg
-5.5145 -0.3028 2.6193 Mg
-2.9663 3.9495 -0.0251 Ga
-1.4899 -4.1942 2.1417 Ga
-2.8961 -0.1590 1.3756 Ga
```

Calculated values
For the raw total energy, the calculation gives -2.01 eV/atom. The calculated volume comes out at 328.6 Å³ per cell.

=====

## Li3MgGa7 (PBE)

Data for Li3MgGa7 after structural relaxation.

```
Li3MgGa7
1.0
2.9927 0.0000 0.0000
-1.4963 9.3420 0.0000
0.0000 0.0000 14.5026
Li Mg Ga
6 2 14
Cartesian
0.0000 2.1518 7.1756 Li
1.4963 7.1902 7.3270 Li
0.0000 4.1690 10.8770 Li
1.4963 5.1730 3.6257 Li
0.0000 2.1518 0.0757 Li
1.4963 7.1902 14.4269 Li
1.4963 9.3183 3.6257 Mg
0.0000 0.0237 10.8770 Mg
0.0000 6.8083 10.8770 Ga
1.4963 2.5337 3.6257 Ga
1.4963 0.1457 5.9906 Ga
0.0000 9.1963 8.5120 Ga
0.0000 9.1963 13.2419 Ga
1.4963 0.1457 1.2607 Ga
0.0000 7.0653 4.9528 Ga
1.4963 2.2766 9.5499 Ga
0.0000 4.6650 6.0603 Ga
1.4963 4.6769 8.4423 Ga
1.4963 4.6769 13.3116 Ga
0.0000 4.6650 1.1910 Ga
0.0000 7.0653 2.2985 Ga
1.4963 2.2766 12.2041 Ga
```

Calculated values
For the raw total energy, the calculation gives -2.73 eV/atom. The calculated volume comes out at 405.5 Å³ per cell.

=====

## Li2MgGa2 (PBE)

Data for Li2MgGa2 after structural relaxation.

```
Li2MgGa2
1.0
3.2348 0.0000 0.0000
0.0000 5.0166 0.9020
0.0000 0.6491 11.1686
Li Mg Ga
4 2 4
Cartesian
0.8087 5.1678 11.1137 Li
2.4261 0.4978 0.9570 Li
0.8087 1.5018 5.7724 Li
2.4261 4.1639 6.2982 Li
0.8087 3.8596 3.7206 Mg
2.4261 1.8060 8.3500 Mg
0.8087 4.3554 8.4996 Ga
2.4261 1.3103 3.5710 Ga
0.8087 2.7125 10.6131 Ga
2.4261 2.9531 1.4575 Ga
```

Calculated values
For the raw total energy, the calculation gives -2.45 eV/atom. The calculated volume comes out at 179.3 Å³ per cell.

=====

## Li3Mg3Ga5 (PBE)

Data for Li3Mg3Ga5 after structural relaxation.

```
Li3Mg3Ga5
1.0
-3.3050 -1.4701 -3.4084
5.7969 -3.6433 -4.0492
-4.0255 -3.9534 5.6071
Li Mg Ga
3 3 5
Cartesian
2.5684 -3.3878 -4.6526 Li
-1.1710 -2.8004 -1.2807 Li
-4.5835 -3.6136 2.3786 Li
-0.5225 -3.2189 -5.3520 Mg
-1.9323 -1.8976 2.6914 Mg
-2.3839 -5.4204 -2.5983 Mg
0.8703 -4.4817 -2.5346 Ga
-2.4039 -4.5851 0.6841 Ga
0.4085 -2.0304 -3.1438 Ga
-0.5108 -5.6308 -0.7001 Ga
-3.0838 -2.1407 0.2892 Ga
```

Calculated values
For the raw total energy, the calculation gives -2.28 eV/atom. The calculated volume comes out at 272.3 Å³ per cell.

=====

## Li2MgGa4 (PBE)

Data for Li2MgGa4 after structural relaxation.

```
Li2MgGa4
1.0
-2.7570 -0.1678 4.1367
3.0177 -3.4841 1.8698
3.7967 6.7389 -0.1867
Li Mg Ga
2 1 4
Cartesian
0.9693 -0.7764 3.6050 Li
3.0881 3.8634 2.2149 Li
0.0000 0.0000 0.0000 Mg
2.4901 1.1263 4.6958 Ga
1.5673 1.9607 1.1241 Ga
1.5088 -1.7420 0.9349 Ga
-1.3785 -0.0839 2.0684 Ga
```

Calculated values
For the raw total energy, the calculation gives -2.25 eV/atom. The calculated volume comes out at 170.5 Å³ per cell.

=====

## Li6Mg5Ga2 (PBE)

Data for Li6Mg5Ga2 after structural relaxation.

```
Li6Mg5Ga2
1.0
3.0949 0.0000 0.0000
0.0000 9.1511 0.0000
0.0000 0.0000 19.2582
Li Mg Ga
12 10 4
Cartesian
0.0000 1.4842 7.4060 Li
0.0000 7.6669 11.8522 Li
0.0000 6.0597 2.2231 Li
0.0000 3.0914 17.0351 Li
1.5474 3.0810 2.6779 Li
1.5474 6.0701 16.5803 Li
1.5474 7.6565 6.9512 Li
1.5474 1.4945 12.3069 Li
0.0000 4.6076 7.4340 Li
0.0000 4.5434 11.8242 Li
0.0000 0.0321 2.1951 Li
0.0000 9.1190 17.0631 Li
1.5474 3.0377 9.6432 Mg
1.5474 6.1133 9.6150 Mg
1.5474 7.6133 19.2441 Mg
1.5474 1.5378 0.0141 Mg
1.5474 5.3726 4.8563 Mg
1.5474 3.7785 14.4019 Mg
1.5474 0.7970 4.7728 Mg
1.5474 8.3540 14.4854 Mg
1.5474 4.5755 0.0000 Mg
1.5474 0.0000 9.6291 Mg
0.0000 3.0750 5.1731 Ga
0.0000 6.0761 14.0851 Ga
0.0000 7.6505 4.4560 Ga
0.0000 1.5005 14.8022 Ga
```

Calculated values
For the raw total energy, the calculation gives -2.00 eV/atom. The calculated volume comes out at 545.4 Å³ per cell.

=====

## Li2Mg2Ga5 (PBE)

Data for Li2Mg2Ga5 after structural relaxation.

```
Li2Mg2Ga5
1.0
6.9349 0.0000 0.0000
0.0000 6.8350 0.0000
0.0000 -3.4175 7.1652
Li Mg Ga
4 4 10
Cartesian
4.4930 5.8258 0.0000 Li
2.4419 1.0092 0.0000 Li
1.0256 4.4268 0.0000 Li
5.9093 2.4083 0.0000 Li
0.0000 0.0000 2.9651 Mg
3.4675 3.4175 2.9651 Mg
0.0000 3.4175 4.2001 Mg
3.4675 0.0000 4.2001 Mg
0.0000 0.0000 0.0000 Ga
3.4675 3.4175 0.0000 Ga
5.8959 4.4351 1.7513 Ga
1.0390 2.3999 1.7513 Ga
2.4284 5.8175 1.7513 Ga
4.5065 1.0176 1.7513 Ga
1.0390 -1.0176 5.4139 Ga
5.8959 1.0176 5.4139 Ga
4.5065 -2.3999 5.4139 Ga
2.4284 2.3999 5.4139 Ga
```

Calculated values
For the raw total energy, the calculation gives -2.52 eV/atom. The calculated volume comes out at 339.6 Å³ per cell.

=====

The records above yield ρ values of 1.138, 1.041, 3.335, 1.516, 2.791, 1.617, 1.909, 2.180, 2.107, 2.810, 1.717, 2.030, 2.391, 4.367, 3.289, 2.697, 3.088, 1.843, 4.020 g/cm³, respectively.
The records above yield M_tot values of 0.000, 0.000, 0.000, 0.000, 0.000, 0.000, 0.000, 0.000, 0.000, 0.000, 0.000, 0.000, 0.000, 0.000, 0.000, 0.000, 0.000, 0.000, 0.000 Bohr magnetons per cell, respectively.